(1)
Entry from OQMD: a relaxed Tm3Mg3TlHg2 crystal (PBE-GGA).

Geometry as POSCAR:
```
Tm3Mg3TlHg2
1.0
7.742 0.000 0.000
-3.871 6.705 0.000
0.000 0.000 4.179
Tm Mg Tl Hg
3 3 1 2
Direct
0.000 0.585 0.000 Tm
0.415 0.415 0.000 Tm
0.585 0.000 0.000 Tm
0.000 0.257 0.500 Mg
0.257 0.000 0.500 Mg
0.743 0.743 0.500 Mg
0.000 0.000 0.000 Tl
0.333 0.667 0.500 Hg
0.667 0.333 0.500 Hg
```

- energy (eV/cell) = -23.99
- SG = P-62m

(2)
Entry from OQMD: a relaxed Hg2C crystal (PBE-GGA).

Geometry as POSCAR:
```
Hg2C
1.0
3.247 -1.773 0.000
3.247 1.773 0.000
-0.837 0.000 4.946
Hg C
2 1
Direct
0.195 0.195 0.261 Hg
0.805 0.805 0.739 Hg
0.500 0.500 0.000 C
```

- SG = C2/m
- energy above the lowest structure with this stoichiometry (eV/atom) = 0.696

(3)
Entry from OQMD: a relaxed RbNdInTe3 crystal (PBE-GGA).

Geometry as POSCAR:
```
RbNdInTe3
1.0
2.505 -7.961 0.000
2.505 7.961 0.000
0.000 0.000 12.064
Rb Nd In Te
2 2 2 6
Direct
0.249 0.751 0.750 Rb
0.751 0.249 0.250 Rb
0.000 0.000 0.000 Nd
0.000 0.000 0.500 Nd
0.480 0.520 0.250 In
0.520 0.480 0.750 In
0.072 0.928 0.250 Te
0.373 0.627 0.053 Te
0.373 0.627 0.447 Te
0.627 0.373 0.553 Te
0.627 0.373 0.947 Te
0.928 0.072 0.750 Te
```

- energy (eV/cell) = -46.94
- SG = Cmcm

(4)
Entry from OQMD: a relaxed Nd2Sm2C2Br3Cl2 crystal (PBE-GGA).

Geometry as POSCAR:
```
Nd2Sm2C2Br3Cl2
1.0
9.452 -1.950 0.000
9.452 1.950 0.000
-1.990 0.000 7.984
Nd Sm C Br Cl
2 2 2 3 2
Direct
0.001 0.001 0.299 Nd
0.999 0.999 0.701 Nd
0.341 0.341 0.403 Sm
0.659 0.659 0.597 Sm
0.462 0.462 0.477 C
0.538 0.538 0.523 C
0.164 0.164 0.862 Br
0.500 0.500 0.000 Br
0.836 0.836 0.138 Br
0.171 0.171 0.353 Cl
0.829 0.829 0.647 Cl
```

- SG = C2/m
- energy above the lowest structure with this stoichiometry (eV/atom) = 0.002

(5)
Entry from OQMD: a relaxed Y2AgPb2 crystal (PBE-GGA).

Geometry as POSCAR:
```
Y2AgPb2
1.0
-2.223 2.223 7.074
2.223 -2.223 7.074
2.223 2.223 -7.074
Y Ag Pb
2 1 2
Direct
0.099 0.099 0.000 Y
0.901 0.901 0.000 Y
0.500 0.500 0.000 Ag
0.250 0.750 0.500 Pb
0.750 0.250 0.500 Pb
```

- SG = I4/mmm
- energy above the lowest structure with this stoichiometry (eV/atom) = 1.207

(6)
Entry from OQMD: a relaxed UTaTl crystal (PBE-GGA).

Geometry as POSCAR:
```
UTaTl
1.0
0.000 3.425 3.425
3.425 0.000 3.425
3.425 3.425 0.000
U Ta Tl
1 1 1
Direct
0.000 0.000 0.000 U
0.500 0.500 0.500 Ta
0.750 0.750 0.750 Tl
```

- SG = F-43m
- energy above the lowest structure with this stoichiometry (eV/atom) = 0.000

(7)
Entry from OQMD: a relaxed KNaZnSn crystal (PBE-GGA).

Geometry as POSCAR:
```
KNaZnSn
1.0
5.968 0.000 0.000
0.000 5.195 4.101
0.000 -5.195 4.101
K Na Zn Sn
2 2 2 2
Direct
0.000 0.177 0.823 K
0.000 0.823 0.177 K
0.500 0.536 0.873 Na
0.500 0.873 0.536 Na
0.247 0.365 0.365 Zn
0.753 0.365 0.365 Zn
0.000 0.631 0.631 Sn
0.500 0.103 0.103 Sn
```

- energy (eV/cell) = -16.56
- SG = Amm2

(8)
Entry from OQMD: a relaxed Rb2Fe3Os2 crystal (PBE-GGA).

Geometry as POSCAR:
```
Rb2Fe3Os2
1.0
2.069 1.194 11.806
-2.069 1.194 11.806
0.000 -2.389 11.806
Rb Fe Os
2 3 2
Direct
0.000 0.000 0.000 Rb
0.438 0.438 0.438 Rb
0.259 0.259 0.259 Fe
0.524 0.524 0.524 Fe
0.891 0.891 0.891 Fe
0.193 0.193 0.193 Os
0.590 0.590 0.590 Os
```

- energy (eV/cell) = -44.83
- SG = R3m

(9)
Entry from OQMD: a relaxed TbCl2 crystal (PBE-GGA).

Geometry as POSCAR:
```
TbCl2
1.0
0.000 5.983 5.983
5.983 0.000 5.983
5.983 5.983 0.000
Tb Cl
2 4
Direct
0.125 0.125 0.125 Tb
0.875 0.875 0.875 Tb
0.000 0.000 0.000 Cl
0.000 0.000 0.500 Cl
0.000 0.500 0.000 Cl
0.500 0.000 0.000 Cl
```

- energy (eV/cell) = -25.47
- SG = Fd-3m

(10)
Entry from OQMD: a relaxed PrTlSbSe3 crystal (PBE-GGA).

Geometry as POSCAR:
```
PrTlSbSe3
1.0
2.088 -7.325 0.000
2.088 7.325 0.000
0.000 0.000 12.066
Pr Tl Sb Se
2 2 2 6
Direct
0.000 0.000 0.000 Pr
0.000 0.000 0.500 Pr
0.307 0.693 0.750 Tl
0.693 0.307 0.250 Tl
0.377 0.623 0.250 Sb
0.623 0.377 0.750 Sb
0.026 0.974 0.250 Se
0.358 0.642 0.019 Se
0.358 0.642 0.481 Se
0.642 0.358 0.519 Se
0.642 0.358 0.981 Se
0.974 0.026 0.750 Se
```

- energy (eV/cell) = -52.92
- SG = Cmcm

(11)
Entry from OQMD: a relaxed CsScCuSe3 crystal (PBE-GGA).

Geometry as POSCAR:
```
CsScCuSe3
1.0
16.697 0.000 0.000
0.000 3.919 0.000
0.000 0.000 10.349
Cs Sc Cu Se
4 4 4 12
Direct
0.237 0.250 0.033 Cs
0.263 0.750 0.533 Cs
0.737 0.250 0.467 Cs
0.763 0.750 0.967 Cs
0.017 0.250 0.344 Sc
0.483 0.750 0.844 Sc
0.517 0.250 0.156 Sc
0.983 0.750 0.656 Sc
0.011 0.750 0.093 Cu
0.489 0.250 0.593 Cu
0.511 0.750 0.407 Cu
0.989 0.250 0.907 Cu
0.076 0.750 0.880 Se
0.086 0.250 0.577 Se
0.116 0.750 0.256 Se
0.384 0.250 0.756 Se
0.414 0.750 0.077 Se
0.424 0.250 0.380 Se
0.576 0.750 0.620 Se
0.586 0.250 0.923 Se
0.616 0.750 0.244 Se
0.884 0.250 0.744 Se
0.914 0.750 0.423 Se
0.924 0.250 0.120 Se
```

- energy (eV/cell) = -112.46
- SG = Pnma

(12)
Entry from OQMD: a relaxed Nd2DyAl3Cu2Ni crystal (PBE-GGA).

Geometry as POSCAR:
```
Nd2DyAl3Cu2Ni
1.0
4.084 0.000 0.000
0.000 6.211 3.524
0.000 -6.211 3.524
Nd Dy Al Cu Ni
2 1 3 2 1
Direct
0.000 0.206 0.794 Nd
0.000 0.794 0.206 Nd
0.000 0.618 0.618 Dy
0.500 0.212 0.436 Al
0.500 0.436 0.212 Al
0.500 0.980 0.980 Al
0.500 0.543 0.865 Cu
0.500 0.865 0.543 Cu
0.000 0.214 0.214 Ni
```

- energy (eV/cell) = -42.44
- SG = Amm2

(13)
Entry from OQMD: a relaxed Lu2FeTc crystal (PBE-GGA).

Geometry as POSCAR:
```
Lu2FeTc
1.0
0.000 3.338 3.338
3.338 0.000 3.338
3.338 3.338 0.000
Lu Fe Tc
2 1 1
Direct
0.000 0.000 0.000 Lu
0.250 0.250 0.250 Lu
0.750 0.750 0.750 Fe
0.500 0.500 0.500 Tc
```

- SG = F-43m
- energy of formation from the pure elements (eV/atom) = 0.2953

(14)
Entry from OQMD: a relaxed ZrAgB2 crystal (PBE-GGA).

Geometry as POSCAR:
```
ZrAgB2
1.0
0.000 3.031 3.031
3.031 0.000 3.031
3.031 3.031 0.000
Zr Ag B
1 1 2
Direct
0.000 0.000 0.000 Zr
0.250 0.250 0.250 Ag
0.500 0.500 0.500 B
0.750 0.750 0.750 B
```

- energy (eV/cell) = -20.22
- SG = F-43m

(15)
Entry from OQMD: a relaxed NbCuTc crystal (PBE-GGA).

Geometry as POSCAR:
```
NbCuTc
1.0
0.000 2.917 2.917
2.917 0.000 2.917
2.917 2.917 0.000
Nb Cu Tc
1 1 1
Direct
0.000 0.000 0.000 Nb
0.250 0.250 0.250 Cu
0.500 0.500 0.500 Tc
```

- SG = F-43m
- energy of formation from the pure elements (eV/atom) = 0.6427
- energy above the lowest structure with this stoichiometry (eV/atom) = 0.000

(16)
Entry from OQMD: a relaxed LiLaSiPd crystal (PBE-GGA).

Geometry as POSCAR:
```
LiLaSiPd
1.0
0.000 3.457 3.457
3.457 0.000 3.457
3.457 3.457 0.000
Li La Si Pd
1 1 1 1
Direct
0.000 0.000 0.000 Li
0.500 0.500 0.500 La
0.750 0.750 0.750 Si
0.250 0.250 0.250 Pd
```

- SG = F-43m
- energy above the lowest structure with this stoichiometry (eV/atom) = 0.174

(17)
Entry from OQMD: a relaxed GdTlIr crystal (PBE-GGA).

Geometry as POSCAR:
```
GdTlIr
1.0
0.000 3.406 3.406
3.406 0.000 3.406
3.406 3.406 0.000
Gd Tl Ir
1 1 1
Direct
0.000 0.000 0.000 Gd
0.250 0.250 0.250 Tl
0.750 0.750 0.750 Ir
```

- energy (eV/cell) = -15.18
- SG = F-43m

(18)
Entry from OQMD: a relaxed HfZrSi2Ni2 crystal (PBE-GGA).

Geometry as POSCAR:
```
HfZrSi2Ni2
1.0
8.208 0.000 0.000
0.000 4.103 0.000
-4.102 0.000 11.608
Hf Zr Si Ni
4 4 8 8
Direct
0.000 0.000 0.000 Hf
0.125 0.500 0.750 Hf
0.250 0.000 0.500 Hf
0.750 0.000 0.500 Hf
0.375 0.500 0.250 Zr
0.500 0.000 0.000 Zr
0.625 0.500 0.750 Zr
0.875 0.500 0.250 Zr
0.001 0.500 0.501 Si
0.125 0.000 0.250 Si
0.248 0.500 0.999 Si
0.373 0.000 0.749 Si
0.500 0.500 0.500 Si
0.626 0.000 0.251 Si
0.752 0.500 0.000 Si
0.877 0.000 0.750 Si
0.062 0.500 0.124 Ni
0.186 0.000 0.874 Ni
0.311 0.500 0.624 Ni
0.438 0.000 0.377 Ni
0.563 0.500 0.125 Ni
0.689 0.000 0.875 Ni
0.814 0.500 0.625 Ni
0.938 0.000 0.377 Ni
```

- energy (eV/cell) = -181.17
- SG = Pm

(19)
Entry from OQMD: a relaxed NdZrSb crystal (PBE-GGA).

Geometry as POSCAR:
```
NdZrSb
1.0
4.392 0.000 0.000
0.000 4.392 0.000
0.000 0.000 8.436
Nd Zr Sb
2 2 2
Direct
0.250 0.250 0.147 Nd
0.750 0.750 0.853 Nd
0.250 0.750 0.500 Zr
0.750 0.250 0.500 Zr
0.250 0.250 0.753 Sb
0.750 0.750 0.247 Sb
```

- energy (eV/cell) = -39.81
- SG = P4/nmm

(20)
Entry from OQMD: a relaxed YCuGeMo crystal (PBE-GGA).

Geometry as POSCAR:
```
YCuGeMo
1.0
0.000 3.335 3.335
3.335 0.000 3.335
3.335 3.335 0.000
Y Cu Ge Mo
1 1 1 1
Direct
0.000 0.000 0.000 Y
0.500 0.500 0.500 Cu
0.250 0.250 0.250 Ge
0.750 0.750 0.750 Mo
```

- SG = F-43m
- energy above the lowest structure with this stoichiometry (eV/atom) = 0.260

(21)
Entry from OQMD: a relaxed PuNpBe crystal (PBE-GGA).

Geometry as POSCAR:
```
PuNpBe
1.0
0.000 2.889 2.889
2.889 0.000 2.889
2.889 2.889 0.000
Pu Np Be
1 1 1
Direct
0.000 0.000 0.000 Pu
0.250 0.250 0.250 Np
0.750 0.750 0.750 Be
```

- SG = F-43m
- energy above the lowest structure with this stoichiometry (eV/atom) = 0.000

(22)
Entry from OQMD: a relaxed TaGaCu2 crystal (PBE-GGA).

Geometry as POSCAR:
```
TaGaCu2
1.0
0.000 3.058 3.058
3.058 0.000 3.058
3.058 3.058 0.000
Ta Ga Cu
1 1 2
Direct
0.000 0.000 0.000 Ta
0.750 0.750 0.750 Ga
0.250 0.250 0.250 Cu
0.500 0.500 0.500 Cu
```

- energy (eV/cell) = -21.83
- SG = F-43m

(23)
Entry from OQMD: a relaxed NdLuIn2Pt4 crystal (PBE-GGA).

Geometry as POSCAR:
```
NdLuIn2Pt4
1.0
4.588 0.000 0.000
-2.294 3.974 0.000
0.000 0.000 9.116
Nd Lu In Pt
1 1 2 4
Direct
0.000 0.000 0.000 Nd
0.667 0.333 0.500 Lu
0.333 0.667 0.255 In
0.333 0.667 0.745 In
0.000 0.000 0.348 Pt
0.000 0.000 0.652 Pt
0.667 0.333 0.168 Pt
0.667 0.333 0.832 Pt
```

- energy (eV/cell) = -46.49
- SG = P-6m2

(24)
Entry from OQMD: a relaxed TlFeAuSeS2 crystal (PBE-GGA).

Geometry as POSCAR:
```
TlFeAuSeS2
1.0
1.673 -7.695 0.000
1.673 7.695 0.000
0.000 0.000 9.978
Tl Fe Au Se S
2 2 2 2 4
Direct
0.202 0.798 0.750 Tl
0.798 0.202 0.250 Tl
0.500 0.500 0.000 Fe
0.500 0.500 0.500 Fe
0.133 0.867 0.250 Au
0.867 0.133 0.750 Au
0.465 0.535 0.250 Se
0.535 0.465 0.750 Se
0.103 0.897 0.017 S
0.103 0.897 0.483 S
0.897 0.103 0.517 S
0.897 0.103 0.983 S
```

- energy (eV/cell) = -53.01
- SG = Cmcm

(25)
Entry from OQMD: a relaxed Ga2Fe2Co2NiIr crystal (PBE-GGA).

Geometry as POSCAR:
```
Ga2Fe2Co2NiIr
1.0
4.125 0.000 0.000
0.000 4.125 0.000
0.000 0.000 5.829
Ga Fe Co Ni Ir
2 2 2 1 1
Direct
0.000 0.500 0.238 Ga
0.500 0.000 0.762 Ga
0.000 0.500 0.759 Fe
0.500 0.000 0.241 Fe
0.000 0.000 0.000 Co
0.500 0.500 0.500 Co
0.500 0.500 0.000 Ni
0.000 0.000 0.500 Ir
```

- energy (eV/cell) = -53.09
- SG = P-4m2